[1]
DFT (PBE) results for a geometry-optimized CeHoTh2 structure.

Unit cell a=4.9123 b=5.0191 c=5.0191 alpha=90.00 beta=90.00 gamma=90.00
Fractional coordinates of all 4 atoms:
Ce (0.5000, 0.0000, 0.0000)
Ho (0.5000, 0.5000, 0.5000)
Th (0.0000, 0.0000, 0.5000)
Th (0.0000, 0.5000, 0.0000)

## Properties
**Formation energy from the elements**: 0.27 eV per formula unit
**Offset from the most stable computed form**: 0.038 eV/atom
**Magnetization**: 0.49 μB/f.u.



[2]
DFT (PBE) results for a geometry-optimized CeHoTh4 structure.

Unit cell a=3.5485 b=6.1364 c=9.3674 alpha=109.36 beta=100.92 gamma=90.00
Fractional coordinates of all 6 atoms:
Ce (0.5000, 0.5000, 0.0000)
Ho (0.0000, 0.0000, 0.0000)
Th (0.6672, 0.3343, 0.3344)
Th (0.8338, 0.1673, 0.6677)
Th (0.3328, 0.6657, 0.6656)
Th (0.1662, 0.8327, 0.3323)

## Properties
**Formation energy from the elements**: 0.28 eV per formula unit
**Offset from the most stable computed form**: 0.003 eV/atom
**Magnetization**: 0.43 μB/f.u.



[3]
DFT (PBE) results for a geometry-optimized CeHoTh structure.

Unit cell a=3.5165 b=6.1093 c=8.5919 alpha=89.61 beta=90.00 gamma=90.00
Fractional coordinates of all 6 atoms:
Th (0.7500, 0.7512, 0.4981)
Th (0.2500, 0.2488, 0.5019)
Ce (0.7500, 0.0767, 0.8310)
Ce (0.2500, 0.9233, 0.1690)
Ho (0.7500, 0.4179, 0.1701)
Ho (0.2500, 0.5821, 0.8299)

## Properties
**Formation energy from the elements**: 0.19 eV per formula unit
**Offset from the most stable computed form**: 0.016 eV/atom
**Magnetization**: 0.73 μB/f.u.



[4]
DFT (PBE) results for a geometry-optimized Ce2Ho2Th7 structure.

Unit cell a=6.0665 b=8.5076 c=8.5076 alpha=83.92 beta=64.04 gamma=64.04
Fractional coordinates of all 11 atoms:
Ce (0.0732, 0.2451, 0.2451)
Ce (0.9268, 0.7549, 0.7549)
Ho (0.5000, 0.2046, 0.7954)
Ho (0.5000, 0.7954, 0.2046)
Th (0.1596, 0.0826, 0.5800)
Th (0.8404, 0.4200, 0.9174)
Th (0.8404, 0.9174, 0.4200)
Th (0.1596, 0.5800, 0.0826)
Th (0.0000, 0.0000, 0.0000)
Th (0.6011, 0.6094, 0.6094)
Th (0.3989, 0.3906, 0.3906)

## Properties
**Formation energy from the elements**: 2.25 eV per formula unit
**Magnetization**: 0.46 μB/f.u.



[5]
DFT (PBE) results for a geometry-optimized CeHo5Th structure.

Unit cell a=5.7623 b=8.9910 c=8.9910 alpha=55.85 beta=51.64 gamma=51.64
Fractional coordinates of all 7 atoms:
Ce (0.0000, 0.0000, 0.0000)
Ho (0.4980, 0.2482, 0.2482)
Ho (0.0000, 0.3148, 0.6852)
Ho (0.5000, 0.0000, 0.0000)
Ho (0.0000, 0.6852, 0.3148)
Ho (0.5020, 0.7518, 0.7518)
Th (0.5000, 0.5000, 0.5000)

## Properties
**Formation energy from the elements**: 7.00 eV per formula unit
**Magnetization**: 0.00 μB/f.u.



[6]
DFT (PBE) results for a geometry-optimized CeHo2Th12 structure.

Unit cell a=6.7224 b=6.7224 c=24.8572 alpha=90.00 beta=90.00 gamma=61.93
Fractional coordinates of all 30 atoms:
Ce (0.5000, 0.0000, 0.0000)
Ce (0.0000, 0.5000, 0.0000)
Ho (0.5000, 0.0000, 0.2635)
Ho (0.0000, 0.5000, 0.2634)
Ho (0.0000, 0.5000, 0.7365)
Ho (0.5000, 0.0000, 0.7366)
Th (0.5000, 0.5000, 0.8069)
Th (0.0000, 0.0000, 0.8069)
Th (0.7500, 0.7500, 0.8751)
Th (0.2500, 0.7500, 0.9327)
Th (0.0000, 0.0000, 0.3203)
Th (0.2500, 0.7500, 0.0673)
Th (0.7501, 0.2501, 0.5634)
Th (0.5000, 0.5000, 0.3203)
Th (0.2500, 0.2500, 0.8751)
Th (0.7500, 0.7500, 0.1249)
Th (0.2500, 0.2500, 0.5846)
Th (0.7499, 0.2499, 0.4366)
Th (0.0000, 0.0000, 0.6797)
Th (0.2500, 0.2500, 0.4154)
Th (0.2500, 0.2500, 0.1249)
Th (0.7500, 0.7500, 0.4154)
Th (0.7500, 0.7500, 0.5846)
Th (0.0000, 0.0000, 0.1931)
Th (0.2499, 0.7499, 0.5634)
Th (0.5000, 0.5000, 0.6797)
Th (0.7500, 0.2500, 0.9327)
Th (0.5000, 0.5000, 0.1931)
Th (0.2501, 0.7501, 0.4366)
Th (0.7500, 0.2500, 0.0673)

## Properties
**Formation energy from the elements**: 3.47 eV per formula unit
**Magnetization**: 0.00 μB/f.u.



[7]
DFT (PBE) results for a geometry-optimized CeHoTh2 structure.

Unit cell a=3.5286 b=3.5286 c=9.8949 alpha=90.00 beta=90.00 gamma=90.00
Fractional coordinates of all 4 atoms:
Ce (0.5000, 0.5000, 0.0000)
Ho (0.5000, 0.5000, 0.5000)
Th (0.0000, 0.0000, 0.7560)
Th (0.0000, 0.0000, 0.2440)

## Properties
**Formation energy from the elements**: 0.12 eV per formula unit
**Offset from the most stable computed form**: 0.000 eV/atom
**Magnetization**: 0.00 μB/f.u.



[8]
DFT (PBE) results for a geometry-optimized CeHoTh6 structure.

Unit cell a=6.1376 b=7.9155 c=8.6635 alpha=43.17 beta=61.92 gamma=74.92
Fractional coordinates of all 8 atoms:
Ce (0.0000, 0.0000, 0.0000)
Ho (0.5000, 0.5000, 0.5000)
Th (0.2502, 0.7498, 0.7499)
Th (0.3756, 0.1241, 0.1243)
Th (0.8757, 0.6242, 0.6244)
Th (0.6244, 0.8759, 0.8757)
Th (0.7498, 0.2502, 0.2501)
Th (0.1243, 0.3758, 0.3756)

## Properties
**Formation energy from the elements**: 0.26 eV per formula unit
**Offset from the most stable computed form**: 0.000 eV/atom
**Magnetization**: 0.01 μB/f.u.



no.,total energy (eV/cell)
1,-25.1
2,-39.9
3,-35.5
4,-70.7
5,-29.2
6,-201.3
7,-25.2
8,-54.8